# 1
# Mn3O5F GGA-PBEsol relaxed
data_Mn3O5F
_space_group_name_H-M_alt 'P m n 21'
_space_group_IT_number 31
_space_group_name_Hall 'P 2ac -2'
_cell_length_a 2.805
_cell_length_b 4.415
_cell_length_c 13.400
_cell_angle_alpha 90.00
_cell_angle_beta 90.00
_cell_angle_gamma 90.00
loop_
_atom_site_label
_atom_site_fract_x
_atom_site_fract_y
_atom_site_fract_z
Mn1 0.000 0.210 0.000
Mn2 0.000 0.215 0.319
Mn3 0.000 0.285 0.662
O1 0.000 0.518 0.228
O2 0.000 0.575 0.558
O3 0.000 0.922 0.099
O4 0.000 0.978 0.430
O5 0.000 0.980 0.763
F1 0.000 0.534 0.891
# Mass density: 5.28 g/cm³
# Formation energy from raw total energies: -1.694 eV/atom

=====

# 2
# TaHgP2 GGA-PBEsol relaxed
data_TaHgP2
_space_group_name_H-M_alt 'I -4 2 d'
_space_group_IT_number 122
_space_group_name_Hall 'I -4 2bw'
_cell_length_a 5.831
_cell_length_b 5.831
_cell_length_c 10.917
_cell_angle_alpha 90.00
_cell_angle_beta 90.00
_cell_angle_gamma 90.00
loop_
_atom_site_label
_atom_site_fract_x
_atom_site_fract_y
_atom_site_fract_z
Ta1 0.000 0.000 0.000
Hg1 0.000 0.000 0.500
P1 0.224 0.250 0.125
# Total DFT energy (no corrections): -24.12 eV per formula unit
# Mass density: 7.94 g/cm³

=====

# 3
# CaCu2 GGA-PBEsol relaxed
data_CaCu2
_space_group_name_H-M_alt 'C m c m'
_space_group_IT_number 63
_space_group_name_Hall '-C 2c 2'
_cell_length_a 9.806
_cell_length_b 4.945
_cell_length_c 4.296
_cell_angle_alpha 90.00
_cell_angle_beta 90.00
_cell_angle_gamma 90.00
loop_
_atom_site_label
_atom_site_fract_x
_atom_site_fract_y
_atom_site_fract_z
Ca1 0.000 0.238 0.250
Cu1 0.215 0.360 0.750
# Total DFT energy (no corrections): -10.88 eV per formula unit
# Mass density: 5.33 g/cm³

=====

# 4
# Ir2PbAu GGA-PBEsol relaxed
data_Ir2PbAu
_space_group_name_H-M_alt 'I 4/m m m'
_space_group_IT_number 139
_space_group_name_Hall '-I 4 2'
_cell_length_a 4.278
_cell_length_b 4.278
_cell_length_c 7.314
_cell_angle_alpha 90.00
_cell_angle_beta 90.00
_cell_angle_gamma 90.00
loop_
_atom_site_label
_atom_site_fract_x
_atom_site_fract_y
_atom_site_fract_z
Ir1 0.000 0.500 0.250
Pb1 0.000 0.000 0.000
Au1 0.000 0.000 0.500
# Total DFT energy (no corrections): -25.57 eV per formula unit
# Mass density: 19.56 g/cm³

=====

# 5
# Mg2AgSe GGA-PBEsol relaxed
data_Mg2AgSe
_space_group_name_H-M_alt 'P 4 m m'
_space_group_IT_number 99
_space_group_name_Hall 'P 4 -2'
_cell_length_a 3.753
_cell_length_b 3.753
_cell_length_c 5.834
_cell_angle_alpha 90.00
_cell_angle_beta 90.00
_cell_angle_gamma 90.00
loop_
_atom_site_label
_atom_site_fract_x
_atom_site_fract_y
_atom_site_fract_z
Mg1 0.000 0.000 0.000
Mg2 0.500 0.500 0.361
Ag1 0.500 0.500 0.887
Se1 0.000 0.000 0.477
# Mass density: 4.76 g/cm³
# Formation energy from raw total energies: -0.415 eV/atom

=====

# 6
# Te3Pt GGA-PBEsol relaxed
data_Te3Pt
_space_group_name_H-M_alt 'P m -3 m'
_space_group_IT_number 221
_space_group_name_Hall '-P 4 2 3'
_cell_length_a 4.528
_cell_length_b 4.528
_cell_length_c 4.528
_cell_angle_alpha 90.00
_cell_angle_beta 90.00
_cell_angle_gamma 90.00
loop_
_atom_site_label
_atom_site_fract_x
_atom_site_fract_y
_atom_site_fract_z
Te1 0.000 0.000 0.500
Pt1 0.500 0.500 0.500
# Mass density: 10.34 g/cm³
# Formation energy from raw total energies: 0.533 eV/atom

=====

# 7
# Sr2HgP GGA-PBEsol relaxed
data_Sr2HgP
_space_group_name_H-M_alt 'A m m 2'
_space_group_IT_number 38
_space_group_name_Hall 'A 2 -2'
_cell_length_a 4.479
_cell_length_b 4.409
_cell_length_c 11.473
_cell_angle_alpha 90.00
_cell_angle_beta 90.00
_cell_angle_gamma 90.00
loop_
_atom_site_label
_atom_site_fract_x
_atom_site_fract_y
_atom_site_fract_z
Sr1 0.000 0.000 0.000
Sr2 0.500 0.000 0.274
Hg1 0.000 0.000 0.715
P1 0.500 0.000 0.553
# Total DFT energy (no corrections): -13.22 eV per formula unit
# Mass density: 5.96 g/cm³

=====

# 8
# UGe2Pd2 GGA-PBEsol relaxed
data_UGe2Pd2
_space_group_name_H-M_alt 'I 4/m m m'
_space_group_IT_number 139
_space_group_name_Hall '-I 4 2'
_cell_length_a 4.088
_cell_length_b 4.088
_cell_length_c 10.451
_cell_angle_alpha 90.00
_cell_angle_beta 90.00
_cell_angle_gamma 90.00
loop_
_atom_site_label
_atom_site_fract_x
_atom_site_fract_y
_atom_site_fract_z
U1 0.000 0.000 0.000
Ge1 0.000 0.000 0.386
Pd1 0.000 0.500 0.250
# Total DFT energy (no corrections): -36.07 eV per formula unit
# Mass density: 11.34 g/cm³

=====

# 9
# Ba2LiSi GGA-PBEsol relaxed
data_Ba2LiSi
_space_group_name_H-M_alt 'F -4 3 m'
_space_group_IT_number 216
_space_group_name_Hall 'F -4 2 3'
_cell_length_a 7.719
_cell_length_b 7.719
_cell_length_c 7.719
_cell_angle_alpha 90.00
_cell_angle_beta 90.00
_cell_angle_gamma 90.00
loop_
_atom_site_label
_atom_site_fract_x
_atom_site_fract_y
_atom_site_fract_z
Ba1 0.000 0.000 0.000
Ba2 0.250 0.250 0.250
Li1 0.250 0.250 0.750
Si1 0.000 0.000 0.500
# Mass density: 4.47 g/cm³
# Formation energy from raw total energies: 0.010 eV/atom

=====

# 10
# B6As GGA-PBEsol relaxed
data_B6As
_space_group_name_H-M_alt 'R -3 m'
_space_group_IT_number 166
_space_group_name_Hall '-R 3 2"'
_cell_length_a 6.1320
_cell_length_b 6.1320
_cell_length_c 11.8503
_cell_angle_alpha 90.00
_cell_angle_beta 90.00
_cell_angle_gamma 120.00
loop_
_atom_site_label
_atom_site_fract_x
_atom_site_fract_y
_atom_site_fract_z
B1 0.0330 0.5165 0.1946
B2 0.1029 0.2057 0.3813
As1 0.0000 0.0000 0.1009
# Total DFT energy (no corrections): -48.51 eV per formula unit
# Mass density: 3.61 g/cm³

=====

# 11
# SiH3I GGA-PBEsol relaxed
data_SiH3I
_space_group_name_H-M_alt 'P 1 21/c 1'
_space_group_IT_number 14
_space_group_name_Hall '-P 2ybc'
_cell_length_a 4.318
_cell_length_b 7.880
_cell_length_c 10.136
_cell_angle_alpha 90.00
_cell_angle_beta 102.24
_cell_angle_gamma 90.00
loop_
_atom_site_label
_atom_site_fract_x
_atom_site_fract_y
_atom_site_fract_z
Si1 0.036 0.063 0.285
H1 0.111 0.049 0.627
H2 0.198 0.669 0.310
H3 0.275 0.525 0.722
I1 0.357 0.225 0.939
# Total DFT energy (no corrections): -17.71 eV per formula unit
# Mass density: 3.11 g/cm³

=====

# 12
# Zr2CrPt GGA-PBEsol relaxed
data_Zr2CrPt
_space_group_name_H-M_alt 'P 1 m 1'
_space_group_IT_number 6
_space_group_name_Hall 'P -2y'
_cell_length_a 3.253
_cell_length_b 4.344
_cell_length_c 5.345
_cell_angle_alpha 90.00
_cell_angle_beta 107.42
_cell_angle_gamma 90.00
loop_
_atom_site_label
_atom_site_fract_x
_atom_site_fract_y
_atom_site_fract_z
Zr1 0.000 0.000 0.000
Zr2 0.293 0.500 0.591
Cr1 0.563 0.500 0.125
Pt1 0.724 0.000 0.452
# Total DFT energy (no corrections): -36.74 eV per formula unit
# Mass density: 9.90 g/cm³

=====

# 13
# In2Ga2Bi GGA-PBEsol relaxed
data_In2Ga2Bi
_space_group_name_H-M_alt 'P 4/m b m'
_space_group_IT_number 127
_space_group_name_Hall '-P 4 2ab'
_cell_length_a 8.070
_cell_length_b 8.070
_cell_length_c 3.616
_cell_angle_alpha 90.00
_cell_angle_beta 90.00
_cell_angle_gamma 90.00
loop_
_atom_site_label
_atom_site_fract_x
_atom_site_fract_y
_atom_site_fract_z
In1 0.180 0.320 0.000
Ga1 0.119 0.619 0.500
Bi1 0.000 0.000 0.500
# Total DFT energy (no corrections): -16.70 eV per formula unit
# Mass density: 8.15 g/cm³

=====

# 14
# TlSiPd3 GGA-PBEsol relaxed
data_TlSiPd3
_space_group_name_H-M_alt 'P m -3 m'
_space_group_IT_number 221
_space_group_name_Hall '-P 4 2 3'
_cell_length_a 4.914
_cell_length_b 4.914
_cell_length_c 4.914
_cell_angle_alpha 90.00
_cell_angle_beta 90.00
_cell_angle_gamma 90.00
loop_
_atom_site_label
_atom_site_fract_x
_atom_site_fract_y
_atom_site_fract_z
Tl1 0.000 0.000 0.000
Si1 0.500 0.500 0.500
Pd1 0.000 0.000 0.500
# Mass density: 7.72 g/cm³
# Formation energy from raw total energies: 1.179 eV/atom

=====

# 15
# Ca3Si4Sn2O14 GGA-PBEsol relaxed
data_Ca3Si4Sn2O14
_space_group_name_H-M_alt 'C 1 2/c 1'
_space_group_IT_number 15
_space_group_name_Hall '-C 2yc'
_cell_length_a 16.274
_cell_length_b 7.466
_cell_length_c 11.374
_cell_angle_alpha 90.00
_cell_angle_beta 120.18
_cell_angle_gamma 90.00
loop_
_atom_site_label
_atom_site_fract_x
_atom_site_fract_y
_atom_site_fract_z
Ca1 0.000 0.180 0.250
Ca2 0.236 0.483 0.506
Si1 0.125 0.113 0.078
Si2 0.195 0.235 0.708
Sn1 0.000 0.303 0.750
Sn2 0.000 0.500 0.000
O1 0.048 0.245 0.084
O2 0.071 0.489 0.397
O3 0.104 0.016 0.940
O4 0.113 0.385 0.674
O5 0.152 0.032 0.705
O6 0.227 0.230 0.125
O7 0.249 0.237 0.624
# Mass density: 3.86 g/cm³
# Formation energy from raw total energies: -2.628 eV/atom

=====

# 16
# TiAl2SbS GGA-PBEsol relaxed
data_TiAl2SbS
_space_group_name_H-M_alt 'P 4/m m m'
_space_group_IT_number 123
_space_group_name_Hall '-P 4 2'
_cell_length_a 5.086
_cell_length_b 5.086
_cell_length_c 5.023
_cell_angle_alpha 90.00
_cell_angle_beta 90.00
_cell_angle_gamma 90.00
loop_
_atom_site_label
_atom_site_fract_x
_atom_site_fract_y
_atom_site_fract_z
Ti1 0.000 0.000 0.000
Al1 0.000 0.500 0.000
Sb1 0.000 0.000 0.500
S1 0.500 0.500 0.500
# Mass density: 3.27 g/cm³
# Formation energy from raw total energies: 0.788 eV/atom

=====

# 17
# ZnNiAg2 GGA-PBEsol relaxed
data_ZnNiAg2
_space_group_name_H-M_alt 'I -4 m 2'
_space_group_IT_number 119
_space_group_name_Hall 'I -4 -2'
_cell_length_a 3.856
_cell_length_b 3.856
_cell_length_c 7.632
_cell_angle_alpha 90.00
_cell_angle_beta 90.00
_cell_angle_gamma 90.00
loop_
_atom_site_label
_atom_site_fract_x
_atom_site_fract_y
_atom_site_fract_z
Zn1 0.000 0.000 0.000
Ni1 0.000 0.500 0.750
Ag1 0.000 0.000 0.500
Ag2 0.000 0.500 0.250
# Total DFT energy (no corrections): -14.24 eV per formula unit
# Mass density: 9.95 g/cm³

=====

# 18
# Ca4GaSn3 GGA-PBEsol relaxed
data_Ca4GaSn3
_space_group_name_H-M_alt 'P m m 2'
_space_group_IT_number 25
_space_group_name_Hall 'P 2 -2'
_cell_length_a 4.324
_cell_length_b 4.637
_cell_length_c 11.321
_cell_angle_alpha 90.00
_cell_angle_beta 90.00
_cell_angle_gamma 90.00
loop_
_atom_site_label
_atom_site_fract_x
_atom_site_fract_y
_atom_site_fract_z
Ca1 0.000 0.000 0.000
Ca2 0.000 0.500 0.488
Ca3 0.500 0.000 0.265
Ca4 0.500 0.500 0.771
Ga1 0.000 0.500 0.211
Sn1 0.000 0.000 0.715
Sn2 0.500 0.000 0.547
Sn3 0.500 0.500 0.057
# Total DFT energy (no corrections): -29.89 eV per formula unit
# Mass density: 4.29 g/cm³

=====

# 19
# SrLi2Au GGA-PBEsol relaxed
data_SrLi2Au
_space_group_name_H-M_alt 'P 4/m m m'
_space_group_IT_number 123
_space_group_name_Hall '-P 4 2'
_cell_length_a 3.644
_cell_length_b 3.644
_cell_length_c 6.675
_cell_angle_alpha 90.00
_cell_angle_beta 90.00
_cell_angle_gamma 90.00
loop_
_atom_site_label
_atom_site_fract_x
_atom_site_fract_y
_atom_site_fract_z
Sr1 0.000 0.000 0.000
Li1 0.500 0.500 0.328
Au1 0.000 0.000 0.500
# Total DFT energy (no corrections): -10.51 eV per formula unit
# Mass density: 5.59 g/cm³

=====

# 20
# Mn3Si GGA-PBEsol relaxed
data_Mn3Si
_space_group_name_H-M_alt 'I m m m'
_space_group_IT_number 71
_space_group_name_Hall '-I 2 2'
_cell_length_a 2.786
_cell_length_b 3.824
_cell_length_c 7.816
_cell_angle_alpha 90.00
_cell_angle_beta 90.00
_cell_angle_gamma 90.00
loop_
_atom_site_label
_atom_site_fract_x
_atom_site_fract_y
_atom_site_fract_z
Mn1 0.000 0.000 0.000
Mn2 0.000 0.500 0.246
Si1 0.000 0.000 0.500
# Mass density: 7.69 g/cm³
# Formation energy from raw total energies: -0.294 eV/atom

=====

# 21
# LiLa4FeO8 GGA-PBEsol relaxed
data_LiLa4FeO8
_space_group_name_H-M_alt 'C m m m'
_space_group_IT_number 65
_space_group_name_Hall '-C 2 2'
_cell_length_a 5.296
_cell_length_b 12.482
_cell_length_c 5.302
_cell_angle_alpha 90.00
_cell_angle_beta 90.00
_cell_angle_gamma 90.00
loop_
_atom_site_label
_atom_site_fract_x
_atom_site_fract_y
_atom_site_fract_z
Li1 0.000 0.000 0.000
La1 0.000 0.136 0.500
La2 0.000 0.365 0.000
Fe1 0.000 0.500 0.500
O1 0.000 0.181 0.000
O2 0.000 0.335 0.500
O3 0.249 0.000 0.256
# Mass density: 7.07 g/cm³
# Formation energy from raw total energies: -2.927 eV/atom

=====

# 22
# ZnBO2 GGA-PBEsol relaxed
data_ZnBO2
_space_group_name_H-M_alt 'R -3 m'
_space_group_IT_number 166
_space_group_name_Hall '-R 3 2"'
_cell_length_a 2.5184
_cell_length_b 2.5184
_cell_length_c 17.6855
_cell_angle_alpha 90.00
_cell_angle_beta 90.00
_cell_angle_gamma 120.00
loop_
_atom_site_label
_atom_site_fract_x
_atom_site_fract_y
_atom_site_fract_z
Zn1 0.0000 0.0000 0.0000
B1 0.0000 0.0000 0.5000
O1 0.0000 0.0000 0.1179
# Mass density: 5.55 g/cm³
# Formation energy from raw total energies: -1.057 eV/atom

=====

# 23
# La5Al2Ru3 GGA-PBEsol relaxed
data_La5Al2Ru3
_space_group_name_H-M_alt 'I 21 3'
_space_group_IT_number 199
_space_group_name_Hall 'I 2b 2c 3'
_cell_length_a 9.967
_cell_length_b 9.967
_cell_length_c 9.967
_cell_angle_alpha 90.00
_cell_angle_beta 90.00
_cell_angle_gamma 90.00
loop_
_atom_site_label
_atom_site_fract_x
_atom_site_fract_y
_atom_site_fract_z
La1 0.000 0.250 0.441
La2 0.105 0.105 0.105
Al1 0.207 0.293 0.707
Ru1 0.000 0.250 0.867
# Total DFT energy (no corrections): -69.43 eV per formula unit
# Mass density: 7.06 g/cm³